DFT (PBE-GGA) results for a relaxed structure of LiP2IrO.

Cell: 4.882 4.882 3.709 Å, 90.00 90.00 90.00°
Atoms (fractional coordinates):
Li 0.000 0.000 0.000
P 0.000 0.500 0.500
P 0.500 0.000 0.500
Ir 0.500 0.500 0.500
O 0.500 0.500 0.000

Values from the calculation:
Formation energy without anion corrections (eV per atom): 0.124
ΔE to the lowest computed polymorph (eV per atom): 0.000